Ac4PPtI2 PBE optimized geometry; mass density = 7.9 g/cm3; total magnetization = 0.00 μB/f.u.; uncorrected formation energy = -9.71 eV/f.u.
1.0
-0.0919 3.9211 -1.9302
-7.5848 1.0298 2.4532
5.0597 3.1754 6.2097
Ac Pt I P
4 1 2 1
direct
0.5000 0.7722 0.8017 Ac
0.0000 0.7190 0.1900 Ac
0.5000 0.2278 0.1983 Ac
0.0000 0.2810 0.8100 Ac
0.5000 0.5000 0.0000 Pt
0.5000 0.0000 0.5000 I
0.0000 0.5000 0.5000 I
0.0000 0.0000 0.0000 P


Ac8PPt3I4 PBE optimized geometry; mass density = 8.2 g/cm3; total magnetization = 0.00 μB/f.u.; uncorrected formation energy = -19.20 eV/f.u.
1.0
9.0086 0.0000 0.0000
0.0000 9.9476 0.6752
-4.5043 -4.5144 6.3637
I P Pt Ac
4 1 3 8
direct
0.0000 0.0000 0.5000 I
0.5000 0.0000 0.0000 I
0.5000 0.0000 0.5000 I
0.0000 0.0000 0.0000 I
0.0000 0.5000 0.0000 P
0.5000 0.5000 0.0000 Pt
0.0000 0.5000 0.5000 Pt
0.5000 0.5000 0.5000 Pt
0.7236 0.6889 0.9564 Ac
0.2715 0.3146 0.5429 Ac
0.7672 0.3111 0.0436 Ac
0.2328 0.6889 0.9564 Ac
0.2328 0.6889 0.4655 Ac
0.2764 0.3111 0.0436 Ac
0.7672 0.3111 0.5345 Ac
0.7285 0.6854 0.4571 Ac


Ac6P2PtI3 PBE optimized geometry; mass density = 7.8 g/cm3; total magnetization = 0.00 μB/f.u.; uncorrected formation energy = -14.66 eV/f.u.
1.0
7.8096 0.0050 -0.0029
-3.8986 6.7669 -0.0029
-1.3074 -2.2638 8.0795
Ac I P Pt
6 3 2 1
direct
0.0660 0.3953 0.1969 Ac
0.9340 0.6047 0.8031 Ac
0.6047 0.9340 0.8031 Ac
0.3953 0.0660 0.1969 Ac
0.7339 0.7339 0.2001 Ac
0.2661 0.2661 0.7999 Ac
0.5000 0.5000 0.5000 I
0.8280 0.1720 0.5000 I
0.1720 0.8280 0.5000 I
0.6667 0.3333 0.0000 P
0.3333 0.6667 0.0000 P
0.0000 0.0000 0.0000 Pt